*A*
Entry from Alexandria: crystalline NaCd2Ge2 at its relaxed geometry (GGA-PBE).

Unit cell a=4.223 b=4.223 c=7.244 alpha=73.05 beta=73.05 gamma=90.00
Fractional positions:
Na: 0.000 0.000 0.000
Ge: 0.750 0.250 0.500
Ge: 0.250 0.750 0.500
Cd: 0.396 0.396 0.209
Cd: 0.604 0.604 0.791

Output
total magnetic moment	0.00	μB per cell
space-group type	No. 139

***

*B*
Entry from Alexandria: crystalline NaCd2Ge2 at its relaxed geometry (GGA-PBE).

Unit cell a=4.559 b=4.559 c=6.558 alpha=69.66 beta=69.66 gamma=90.00
Fractional positions:
Na: 0.000 0.000 0.000
Ge: 0.392 0.392 0.215
Ge: 0.608 0.608 0.785
Cd: 0.750 0.250 0.500
Cd: 0.250 0.750 0.500

Output
total magnetic moment	0.00	μB per cell
space-group type	No. 139

***

*C*
Entry from Alexandria: crystalline NaCd2Ge2 at its relaxed geometry (GGA-PBE).

Unit cell a=4.311 b=4.549 c=12.201 alpha=93.48 beta=90.00 gamma=90.00
Fractional positions:
Na: 0.250 0.695 0.263
Na: 0.750 0.305 0.737
Cd: 0.250 0.836 0.858
Cd: 0.750 0.164 0.142
Cd: 0.250 0.251 0.506
Cd: 0.750 0.749 0.494
Ge: 0.250 0.774 0.641
Ge: 0.750 0.226 0.359
Ge: 0.250 0.330 0.995
Ge: 0.750 0.670 0.005

Output
total magnetic moment	0.00	μB per cell
space-group type	No. 11

***

*D*
Entry from Alexandria: crystalline NaCd2Ge2 at its relaxed geometry (GGA-PBE).

Unit cell a=8.470 b=8.470 c=3.171 alpha=90.00 beta=90.00 gamma=90.00
Fractional positions:
Na: 0.000 0.000 0.000
Na: 0.500 0.500 0.000
Ge: 0.347 0.847 0.000
Ge: 0.847 0.653 0.000
Ge: 0.653 0.153 0.000
Ge: 0.153 0.347 0.000
Cd: 0.144 0.644 0.500
Cd: 0.644 0.856 0.500
Cd: 0.856 0.356 0.500
Cd: 0.356 0.144 0.500

Output
total magnetic moment	0.00	μB per cell
space-group type	No. 127

***

It turns out *B* is the most stable, with the second structure 30 meV per atom higher.

***

*A*
Entry from Alexandria: crystalline NaCdGe3 at its relaxed geometry (GGA-PBE).

Unit cell a=5.083 b=5.083 c=5.083 alpha=90.00 beta=90.00 gamma=90.00
Fractional positions:
Na: 0.000 0.000 0.000
Ge: 0.000 0.500 0.000
Ge: 0.000 0.000 0.500
Ge: 0.500 0.000 0.000
Cd: 0.500 0.500 0.500

Output
total magnetic moment	0.00	μB per cell
space-group type	No. 221

***

*B*
Entry from Alexandria: crystalline NaCdGe3 at its relaxed geometry (GGA-PBE).

Unit cell a=5.263 b=5.263 c=5.263 alpha=90.00 beta=90.00 gamma=90.00
Fractional positions:
Na: 0.500 0.500 0.500
Ge: 0.000 0.500 0.000
Ge: 0.000 0.000 0.500
Ge: 0.500 0.000 0.000
Cd: 0.000 0.000 0.000

Output
total magnetic moment	0.00	μB per cell
space-group type	No. 221

***

It turns out *B* is the most stable, with the second structure 313 meV per atom higher.